A relaxed LiAgB2 crystal, computed with PBE-GGA.

CIF file:
```
data_LiAgB2
_chemical_formula_sum 'Li4 Ag4 B8'
_cell_length_a 5.438
_cell_length_b 5.438
_cell_length_c 5.438
_cell_angle_alpha 90.00
_cell_angle_beta 90.00
_cell_angle_gamma 90.00
_symmetry_space_group_name_H-M 'F -4 3 m'
_symmetry_Int_Tables_number 216
_symmetry_space_group_name_Hall 'F -4 2 3'
loop_
_atom_site_label
_atom_site_type_symbol
_atom_site_fract_x
_atom_site_fract_y
_atom_site_fract_z
Li1 Li 0.000 0.000 0.000
Ag1 Ag 0.250 0.250 0.250
B1 B 0.000 0.000 0.500
B2 B 0.250 0.250 0.750
```

# LiAgB4, relaxed, DFT PBE-GGA
# E above lowest polymorph ... 0.000 eV per atom
data_LiAgB4
_chemical_formula_sum 'Li2 Ag2 B8'
_cell_length_a 2.991
_cell_length_b 5.212
_cell_length_c 7.443
_cell_angle_alpha 90.00
_cell_angle_beta 90.00
_cell_angle_gamma 90.00
_symmetry_space_group_name_H-M 'I m m m'
_symmetry_Int_Tables_number 71
_symmetry_space_group_name_Hall '-I 2 2'
loop_
_atom_site_label
_atom_site_type_symbol
_atom_site_fract_x
_atom_site_fract_y
_atom_site_fract_z
Li1 Li 0.000 0.000 0.000
Ag1 Ag 0.000 0.000 0.500
B1 B 0.000 0.334 0.257

Number 1: calculated total energy -3.54 eV/atom. Number 2: calculated total energy -5.01 eV/atom.